Density functional theory data (PBE) for a geometry-optimized InNi2BPb structure.

Cell lengths 4.8427, 4.8427, 4.1882 Å; angles 90.00, 90.00, 90.00 degrees
Space group P4/mmm (No. 123)
Unique sites:
In1 0.0000 0.0000 0.0000
Ni1 0.0000 0.5000 0.0000
B1 0.0000 0.0000 0.5000
Pb1 0.5000 0.5000 0.5000

The calculation puts the total energy at -18.80 eV/f.u. The calculation puts the formation energy at 1.177 eV/atom.

Density functional theory data (PBE) for a geometry-optimized NaH3Pd structure.

Cell lengths 3.5796, 3.5796, 17.1899 Å; angles 90.00, 90.00, 90.00 degrees
Space group I-4m2 (No. 119)
Unique sites:
Na1 0.0000 0.0000 0.1030
H1 0.0000 0.1421 0.3188
H2 0.0000 0.5000 0.5018
Pd1 0.0000 0.0000 0.5000
Pd2 0.0000 0.5000 0.2500

The calculation puts the total energy at -16.67 eV/f.u. As for the energy above the most stable polymorph in this dataset: 244.4 meV/atom.

Density functional theory data (PBE) for a geometry-optimized Na2CuBSe4 structure.

Cell lengths 7.2819, 7.2819, 6.4574 Å; angles 90.00, 90.00, 90.00 degrees
Space group I-42m (No. 121)
Unique sites:
Na1 0.0000 0.5000 0.0000
Cu1 0.0000 0.0000 0.0000
B1 0.0000 0.0000 0.5000
Se1 0.1517 0.1517 0.2880

The calculation puts the total energy at -30.59 eV/f.u.

Density functional theory data (PBE) for a geometry-optimized NbAlCoNi structure.

Cell lengths 5.9829, 5.9829, 5.9829 Å; angles 90.00, 90.00, 90.00 degrees
Space group F-43m (No. 216)
Unique sites:
Nb1 0.0000 0.0000 0.0000
Al1 0.0000 0.0000 0.5000
Co1 0.2500 0.2500 0.2500
Ni1 0.2500 0.2500 0.7500

The calculation puts the total energy at -28.29 eV/f.u. The calculation puts the formation energy at -0.397 eV/atom.

Density functional theory data (PBE) for a geometry-optimized NaAsS2 structure.

Cell lengths 3.7100, 4.2252, 6.0011 Å; angles 84.88, 89.80, 89.99 degrees
Space group P1 (No. 1)
Unique sites:
Na1 0.0000 0.0000 0.0000
As1 0.5033 0.5711 0.5734
S1 0.0037 0.9380 0.4940
S2 0.5005 0.5081 0.9392

The calculation puts the total energy at -16.50 eV/f.u.

Density functional theory data (PBE) for a geometry-optimized Sr2LiSi4Pd3 structure.

Cell lengths 4.3037, 4.3037, 10.2124 Å; angles 90.00, 90.00, 90.00 degrees
Space group P-4m2 (No. 115)
Unique sites:
Sr1 0.0000 0.5000 0.2494
Li1 0.0000 0.0000 0.5000
Si1 0.0000 0.0000 0.0000
Si2 0.0000 0.5000 0.6297
Si3 0.5000 0.5000 0.0000
Pd1 0.0000 0.5000 0.8775
Pd2 0.5000 0.5000 0.5000

The calculation puts the total energy at -48.44 eV/f.u.